Ca3Cu2Si3O12: single point on PBEsol structure, meta-GGA SCAN.

Unit cell a=10.3848 b=10.3848 c=10.3848 alpha=109.47 beta=109.47 gamma=109.47
Closest atoms and distances in Å follow each position.
Sites, in units of the cell vectors:
O 0.8069 0.4122 0.2957  1 Si 1.65
O 0.9122 0.3069 0.7957  1 Si 1.65
O 0.6165 0.5112 0.2043  1 Si 1.65
O 0.3835 0.4888 0.7957  1 Si 1.65
O 0.7957 0.9888 0.3835  1 Si 1.65
O 0.8947 0.3069 0.5112  1 Si 1.65
O 0.6165 0.1053 0.9122  1 Si 1.65
O 0.5878 0.3835 0.3947  1 Si 1.65
O 0.8947 0.5878 0.8835  1 Si 1.65
O 0.1165 0.9122 0.1053  1 Si 1.65
O 0.2957 0.3835 0.9888  1 Si 1.65
O 0.6931 0.7043 0.5878  1 Si 1.65
O 0.1931 0.5878 0.7043  1 Si 1.65
O 0.1053 0.6931 0.4888  1 Si 1.65
O 0.9888 0.1053 0.1931  1 Si 1.65
O 0.0878 0.3947 0.3835  1 Si 1.65
O 0.4888 0.1931 0.1053  1 Si 1.65
O 0.8835 0.7957 0.4888  1 Si 1.65
O 0.0112 0.8947 0.8069  1 Si 1.65
O 0.1931 0.6053 0.9888  1 Si 1.65
O 0.7043 0.6165 0.0112  1 Si 1.65
O 0.3069 0.2957 0.4122  1 Si 1.65
O 0.2043 0.0112 0.6165  1 Si 1.65
O 0.3835 0.8947 0.0878  1 Si 1.65
O 0.0112 0.1165 0.7043  1 Si 1.65
O 0.5878 0.2043 0.6931  1 Si 1.65
O 0.4122 0.6165 0.6053  1 Si 1.65
O 0.1165 0.2043 0.5112  1 Si 1.65
O 0.4122 0.7957 0.3069  1 Si 1.65
O 0.2957 0.9122 0.8069  1 Si 1.65
O 0.5112 0.7043 0.1165  1 Si 1.65
O 0.4888 0.2957 0.8835  1 Si 1.65
O 0.5112 0.8069 0.8947  1 Si 1.65
O 0.2043 0.1931 0.0878  1 Si 1.65
O 0.3069 0.0112 0.3947  1 Si 1.65
O 0.7957 0.8069 0.9122  1 Si 1.65
O 0.3947 0.5112 0.3069  1 Si 1.65
O 0.6931 0.9888 0.6053  1 Si 1.65
O 0.9888 0.8835 0.2957  1 Si 1.65
O 0.8835 0.0878 0.8947  1 Si 1.65
O 0.1053 0.4122 0.1165  1 Si 1.65
O 0.9122 0.6053 0.6165  1 Si 1.65
O 0.3947 0.8835 0.5878  1 Si 1.65
O 0.7043 0.0878 0.1931  1 Si 1.65
O 0.6053 0.1165 0.4122  1 Si 1.65
O 0.8069 0.3947 0.0112  1 Si 1.65
O 0.0878 0.6931 0.2043  1 Si 1.65
O 0.6053 0.4888 0.6931  1 Si 1.65
Si 0.3750 0.7500 0.1250  4 O 1.65
Si 0.1250 0.2500 0.3750  4 O 1.65
Si 0.7500 0.1250 0.3750  4 O 1.65
Si 0.6250 0.2500 0.8750  4 O 1.65
Si 0.2500 0.8750 0.6250  4 O 1.65
Si 0.6250 0.3750 0.2500  4 O 1.65
Si 0.8750 0.1250 0.7500  4 O 1.65
Si 0.1250 0.8750 0.2500  4 O 1.65
Si 0.2500 0.3750 0.1250  4 O 1.65
Si 0.3750 0.6250 0.7500  4 O 1.65
Si 0.8750 0.7500 0.6250  4 O 1.65
Si 0.7500 0.6250 0.8750  4 O 1.65
Ca 0.6250 0.8750 0.7500  8 O 2.34-2.47
Ca 0.7500 0.8750 0.1250  8 O 2.34-2.47
Ca 0.3750 0.1250 0.2500  8 O 2.34-2.47
Ca 0.2500 0.1250 0.8750  8 O 2.34-2.47
Ca 0.8750 0.2500 0.1250  8 O 2.34-2.47
Ca 0.6250 0.7500 0.3750  8 O 2.34-2.47
Ca 0.8750 0.6250 0.2500  8 O 2.34-2.47
Ca 0.1250 0.7500 0.8750  8 O 2.34-2.47
Ca 0.3750 0.2500 0.6250  8 O 2.34-2.47
Ca 0.1250 0.3750 0.7500  8 O 2.34-2.47
Ca 0.7500 0.3750 0.6250  8 O 2.34-2.47
Ca 0.2500 0.6250 0.3750  8 O 2.34-2.47
Cu 0.5000 0.0000 0.0000  6 O 2.00
Cu 0.0000 0.0000 0.0000  6 O 2.00
Cu 0.5000 0.5000 0.0000  6 O 2.00
Cu 0.5000 0.5000 0.5000  6 O 2.00
Cu 0.0000 0.5000 0.0000  6 O 2.00
Cu 0.0000 0.0000 0.5000  6 O 2.00
Cu 0.0000 0.5000 0.5000  6 O 2.00
Cu 0.5000 0.0000 0.5000  6 O 2.00

Calculated total energy: -866.05 eV for the cell shown